1.
The following is a DFT calculation (PBE) of crystalline Te2HAuI at its relaxed geometry.

Geometry as POSCAR:
```
Te2HAuI
1.0
-2.323 -2.320 -4.429
3.515 -4.231 0.374
-3.770 -2.826 3.458
I H Te Au
1 1 2 1
direct
0.000 0.000 0.500 I
0.500 0.500 0.500 H
0.000 0.500 0.000 Te
0.500 0.000 0.000 Te
0.000 0.000 0.000 Au
```

The density of states at the Fermi level comes out at 5.18 states/eV/cell. The total magnetization comes out at 2.8 μB/f.u. Its space group is No. 123. The total energy comes out at -10.32 eV for the cell shown.

***

2.
The following is a DFT calculation (PBE) of crystalline SmTmAgPd at its relaxed geometry.

Geometry as POSCAR:
```
SmTmAgPd
1.0
3.569 0.000 0.000
0.000 3.569 0.000
0.000 0.000 7.255
Sm Tm Ag Pd
1 1 1 1
direct
0.500 0.500 0.117 Sm
0.500 0.500 0.595 Tm
0.000 0.000 0.840 Ag
0.000 0.000 0.376 Pd
```

The density of states at the Fermi level comes out at 3.77 states/eV/cell. The total magnetization comes out at 0.0 μB/f.u. Its space group is No. 99. The value obtained for the formation energy is -0.58 eV/atom.

***

Please write out number 2 again, unchanged.
The following is a DFT calculation (PBE) of crystalline SmTmAgPd at its relaxed geometry.

Geometry as POSCAR:
```
SmTmAgPd
1.0
3.569 0.000 0.000
0.000 3.569 0.000
0.000 0.000 7.255
Sm Tm Ag Pd
1 1 1 1
direct
0.500 0.500 0.117 Sm
0.500 0.500 0.595 Tm
0.000 0.000 0.840 Ag
0.000 0.000 0.376 Pd
```

The density of states at the Fermi level comes out at 3.77 states/eV/cell. The total magnetization comes out at 0.0 μB/f.u. Its space group is No. 99. The value obtained for the formation energy is -0.58 eV/atom.